Li4AcTlPb2 | PBE-GGA | optimized geometry

Cell lengths 4.949, 4.949, 9.530 Å; angles 74.95, 74.95, 60.00 degrees
Fractional coordinates of all 8 atoms:
Pb: 0.745 0.745 0.765
Li: 0.869 0.869 0.394
Pb: 0.255 0.255 0.235
Li: 0.599 0.599 0.203
Tl: 0.500 0.500 0.500
Li: 0.401 0.401 0.797
Ac: 0.000 0.000 0.000
Li: 0.131 0.131 0.606

## Properties
- Crystal system: trigonal
- Energy relative to the elements: -0.3291 eV/atom
- Mass density: 7.5 g/cm³
- SG: R-3m (166)

Li4Ac2TlPb3 | PBE-GGA | optimized geometry

Cell lengths 4.793, 4.793, 11.288 Å; angles 90.00, 90.00, 90.00 degrees
Fractional coordinates of all 10 atoms:
Ac: 0.000 0.500 0.762
Li: 0.000 0.500 0.367
Pb: 0.000 0.500 0.127
Ac: 0.500 0.000 0.238
Li: 0.500 0.500 0.000
Li: 0.000 0.000 0.000
Li: 0.500 0.000 0.633
Tl: 0.500 0.500 0.500
Pb: 0.500 0.000 0.873
Pb: 0.000 0.000 0.500

## Properties
- Crystal system: tetragonal
- Energy relative to the elements: -0.4096 eV/atom
- Mass density: 8.4 g/cm³
- SG: P-4m2 (115)

Li4Ac2TlPb2 | PBE-GGA | optimized geometry

Cell lengths 7.191, 7.191, 7.191 Å; angles 84.75, 123.08, 123.08 degrees
Fractional coordinates of all 9 atoms:
Pb: 0.000 0.318 0.318
Ac: 0.500 0.250 0.750
Li: 0.000 0.281 0.719
Pb: 0.000 0.682 0.682
Tl: 0.000 0.000 0.000
Li: 0.438 0.719 0.719
Li: 0.562 0.281 0.281
Ac: 0.500 0.750 0.250
Li: 0.000 0.719 0.281

## Properties
- Crystal system: tetragonal
- Energy relative to the elements: -0.2872 eV/atom
- Mass density: 7.3 g/cm³
- SG: I4/mmm (139)

LiAcTlPb | PBE-GGA | optimized geometry

Cell lengths 5.565, 5.565, 5.565 Å; angles 60.00, 60.00, 60.00 degrees
Fractional coordinates of all 4 atoms:
Ac: 0.500 0.500 0.500
Pb: 0.750 0.750 0.750
Li: 0.000 0.000 0.000
Tl: 0.250 0.250 0.250

## Properties
- Crystal system: cubic
- Energy relative to the elements: -0.3247 eV/atom
- Mass density: 8.8 g/cm³
- SG: F-43m (216)